Tb5NdIn3 | GGA-PBE | relaxed Values from VASP.

Structure (Quantum ESPRESSO input):
```
&SYSTEM
  ibrav = 0, nat = 18, ntyp = 3
/
ATOMIC_SPECIES
Tb 158.93 Tb.upf
Nd 144.24 Nd.upf
In 114.82 In.upf
ATOMIC_POSITIONS crystal
Tb 0.0000 0.6667 0.3334
Tb 0.5000 0.3333 0.6666
Tb 0.0000 0.3333 0.6666
Tb 0.5000 0.6667 0.3334
Tb 0.7500 0.6691 0.6691
Tb 0.7500 0.0000 0.3309
Tb 0.7500 0.3309 0.0000
Tb 0.2500 0.3309 0.3309
Tb 0.2500 0.0000 0.6691
Tb 0.2500 0.6691 0.0000
Nd 0.0000 0.0000 0.0000
Nd 0.5000 0.0000 0.0000
In 0.7500 0.3388 0.3388
In 0.7500 0.0000 0.6612
In 0.7500 0.6612 0.0000
In 0.2500 0.6612 0.6612
In 0.2500 0.0000 0.3388
In 0.2500 0.3388 0.0000
CELL_PARAMETERS angstrom
6.7779 0.0000 0.0000
0.0000 9.4306 0.0000
0.0000 -4.7153 8.1662
```

## Properties
Crystal system: hexagonal
ΔE_f, eV per atom: -0.351
Density of states at the Fermi level, states/eV per atom: 1.25
Space group: P6_3/mcm
Total energy, eV/f.u.: -39.3
Magnetic moment, μB per formula unit: 0.9

Sc3BeHg | GGA-PBE | relaxed Values from VASP.

Structure (Quantum ESPRESSO input):
```
&SYSTEM
  ibrav = 0, nat = 5, ntyp = 3
/
ATOMIC_SPECIES
Sc 44.96 Sc.upf
Be 9.01 Be.upf
Hg 200.59 Hg.upf
ATOMIC_POSITIONS crystal
Sc 0.0000 0.5000 0.0000
Sc 0.0000 0.0000 0.5000
Sc 0.5000 0.0000 0.0000
Be 0.0000 0.0000 0.0000
Hg 0.5000 0.5000 0.5000
CELL_PARAMETERS angstrom
4.8255 0.0000 0.0000
0.0000 4.8255 0.0000
0.0000 0.0000 4.8255
```

## Properties
Crystal system: cubic
Energy above the lowest structure with this stoichiometry, eV/f.u.: 0.000
ΔE_f, eV per atom: 0.128
Density of states at the Fermi level, states/eV per atom: 1.65
Space group: Pm-3m
Total energy, eV/f.u.: -22.4
Magnetic moment, μB per formula unit: 1.3

Nd2Sm5YTm | GGA-PBE | relaxed Values from VASP.

Structure (Quantum ESPRESSO input):
```
&SYSTEM
  ibrav = 0, nat = 18, ntyp = 4
/
ATOMIC_SPECIES
Nd 144.24 Nd.upf
Sm 150.36 Sm.upf
Y 88.91 Y.upf
Tm 168.93 Tm.upf
ATOMIC_POSITIONS crystal
Nd 0.1203 0.3797 0.0000
Nd 0.6203 0.1203 0.0000
Nd 0.3797 0.8797 0.0000
Nd 0.8797 0.6203 0.0000
Sm 0.9261 0.4261 0.2845
Sm 0.6417 0.1417 0.7155
Sm 0.0739 0.5739 0.7155
Sm 0.1417 0.0739 0.7155
Sm 0.5739 0.6417 0.7155
Sm 0.8583 0.9261 0.2845
Sm 0.4261 0.3583 0.2845
Sm 0.3583 0.8583 0.2845
Sm 0.5000 0.5000 0.0000
Sm 0.0000 0.0000 0.0000
Y 0.2500 0.2500 0.5000
Y 0.7500 0.7500 0.5000
Tm 0.2500 0.7500 0.5000
Tm 0.7500 0.2500 0.5000
CELL_PARAMETERS angstrom
-5.0882 -1.1449 -6.8816
-6.8661 -0.6854 5.1907
4.8048 9.0166 0.3644
```

## Properties
Crystal system: tetragonal
ΔE_f, eV per atom: 0.274
Density of states at the Fermi level, states/eV per atom: 1.47
Space group: I4/mcm
Total energy, eV/f.u.: -41.6
Magnetic moment, μB per formula unit: 0.0

BaNa2CaZn | GGA-PBE | relaxed Values from VASP.

Structure (Quantum ESPRESSO input):
```
&SYSTEM
  ibrav = 0, nat = 5, ntyp = 4
/
ATOMIC_SPECIES
Na 22.99 Na.upf
Zn 65.41 Zn.upf
Ca 40.08 Ca.upf
Ba 137.33 Ba.upf
ATOMIC_POSITIONS crystal
Na 0.0000 0.5000 0.0000
Na 0.5000 0.0000 0.0000
Zn 0.0000 0.0000 0.0000
Ca 0.0000 0.0000 0.5000
Ba 0.5000 0.5000 0.5000
CELL_PARAMETERS angstrom
-2.6860 -5.2091 -0.3975
1.1764 -0.1676 -5.7528
5.1109 -2.7212 1.1244
```

## Properties
Crystal system: tetragonal
ΔE_f, eV per atom: 0.089
Density of states at the Fermi level, states/eV per atom: 0.74
Space group: P4/mmm
Total energy, eV/f.u.: -7.4
Magnetic moment, μB per formula unit: 0.0

CoSiPt2 | GGA-PBE | relaxed Values from VASP.

Structure (Quantum ESPRESSO input):
```
&SYSTEM
  ibrav = 0, nat = 4, ntyp = 3
/
ATOMIC_SPECIES
Co 58.93 Co.upf
Pt 195.08 Pt.upf
Si 28.09 Si.upf
ATOMIC_POSITIONS crystal
Co 0.7603 0.7603 0.7603
Pt 0.0061 0.0061 0.0061
Pt 0.2394 0.2394 0.2394
Si 0.4941 0.4941 0.4941
CELL_PARAMETERS angstrom
-2.7259 7.8647 0.6507
-4.9424 6.5215 1.6588
-2.8033 7.1246 3.3302
```

## Properties
Crystal system: trigonal
Density of states at the Fermi level, states/eV per atom: 1.02
Space group: R3m
Total energy, eV/f.u.: -25.7
Magnetic moment, μB per formula unit: 0.9
Raw formation energy, meV per atom: -278.4

TmScOs2 | GGA-PBE | relaxed Values from VASP.

Structure (Quantum ESPRESSO input):
```
&SYSTEM
  ibrav = 0, nat = 4, ntyp = 3
/
ATOMIC_SPECIES
Sc 44.96 Sc.upf
Tm 168.93 Tm.upf
Os 190.23 Os.upf
ATOMIC_POSITIONS crystal
Sc 0.5000 0.5000 0.5000
Tm 0.0000 0.0000 0.0000
Os 0.2500 0.2500 0.2500
Os 0.7500 0.7500 0.7500
CELL_PARAMETERS angstrom
4.6524 0.0000 0.0000
2.3262 4.0291 0.0000
2.3262 1.3430 3.7986
```

## Properties
Crystal system: cubic
Energy above the lowest structure with this stoichiometry, eV/f.u.: 0.023
ΔE_f, eV per atom: -0.212
Density of states at the Fermi level, states/eV per atom: 1.18
Space group: Fm-3m
Total energy, eV/f.u.: -34.1
Magnetic moment, μB per formula unit: 0.0

Sm2SeBr | GGA-PBE | relaxed Values from VASP.

Structure (Quantum ESPRESSO input):
```
&SYSTEM
  ibrav = 0, nat = 4, ntyp = 3
/
ATOMIC_SPECIES
Sm 150.36 Sm.upf
Se 78.96 Se.upf
Br 79.90 Br.upf
ATOMIC_POSITIONS crystal
Sm 0.0891 0.0891 0.7327
Sm 0.2444 0.2444 0.2668
Se 0.5004 0.5004 0.4988
Br 0.6661 0.6661 0.0017
CELL_PARAMETERS angstrom
3.8450 0.0000 0.0000
1.9225 3.3299 0.0000
1.9225 1.1100 8.2969
```

## Properties
Crystal system: trigonal
Energy above the lowest structure with this stoichiometry, eV/f.u.: 0.119
Density of states at the Fermi level, states/eV per atom: 0.97
Space group: R3m
Total energy, eV/f.u.: -20.1
Magnetic moment, μB per formula unit: 0.0
Raw formation energy, meV per atom: -1384.2

Ho8Er2Tm | GGA-PBE | relaxed Values from VASP.

Structure (Quantum ESPRESSO input):
```
&SYSTEM
  ibrav = 0, nat = 11, ntyp = 3
/
ATOMIC_SPECIES
Tm 168.93 Tm.upf
Ho 164.93 Ho.upf
Er 167.26 Er.upf
ATOMIC_POSITIONS crystal
Tm 0.0000 0.0000 0.0000
Ho 0.3087 0.3394 0.8656
Ho 0.6913 0.1344 0.6606
Ho 0.3238 0.7909 0.7909
Ho 0.6762 0.2091 0.2091
Ho 0.3087 0.8656 0.3394
Ho 0.6913 0.6606 0.1344
Ho 0.7520 0.5588 0.5588
Ho 0.2480 0.4412 0.4412
Er 0.8919 0.7175 0.7175
Er 0.1081 0.2825 0.2825
CELL_PARAMETERS angstrom
6.0751 0.5201 1.9712
0.8449 7.7349 4.7944
-0.0042 2.4756 8.7980
```

## Properties
Crystal system: monoclinic
Energy above the lowest structure with this stoichiometry, eV/f.u.: 0.309
ΔE_f, eV per atom: 0.197
Density of states at the Fermi level, states/eV per atom: 1.28
Space group: C2/m
Total energy, eV/f.u.: -48.1
Magnetic moment, μB per formula unit: 0.0